No. 1
Computed, not measured: crystalline Er8Bi2Rh3 at its relaxed geometry at the GGA-PBE level of DFT.

Cell: 9.034 4.819 9.039 Å, 90.00 114.95 90.00°
Fractional coordinates of all 13 atoms:
Er 0.106 0.000 0.394
Er 0.145 0.500 0.862
Er 0.361 0.500 0.645
Er 0.390 0.000 0.110
Er 0.610 0.000 0.890
Er 0.639 0.500 0.355
Er 0.855 0.500 0.138
Er 0.894 0.000 0.606
Bi 0.245 0.500 0.256
Bi 0.755 0.500 0.744
Rh 0.252 0.000 0.753
Rh 0.500 0.500 0.000
Rh 0.748 0.000 0.247

volume = 356.76 Å³ per cell
calculated formation energy = -0.63 eV per atom
uncorrected energy = -5.73 eV/atom

=====

No. 2
Computed, not measured: crystalline Er3Bi2Rh at its relaxed geometry at the GGA-PBE level of DFT.

Cell: 7.616 7.616 7.616 Å, 148.43 132.51 58.15°
Fractional coordinates of all 6 atoms:
Er 0.000 0.000 0.000
Er 0.361 0.361 0.000
Er 0.639 0.639 0.000
Bi 0.177 0.677 0.500
Bi 0.823 0.323 0.500
Rh 0.500 0.000 0.500

volume = 169.13 Å³ per cell
calculated formation energy = -0.63 eV per atom
uncorrected energy = -5.43 eV/atom